Entry 1:
The following is a DFT calculation (PBE-GGA) of a relaxed structure of Sr2ScPt.

Lattice parameters (Å, degrees): 3.6962 3.6962 9.1813 90.00 90.00 89.94
Last column: magnetic moment on the atom in μB.
Positions (direct):
Sc: 0.5000 0.5000 0.7500  0.45
Sr: 0.0000 0.0000 0.0567  0.01
Pt: 0.5000 0.5000 0.2500  0.01
Sr: 0.0000 0.0000 0.4433  0.01

Values from the calculation:
As for the polymorph energy (0 for the lowest one): 258 meV per atom. Its space-group type is No. 123. Its energy of formation from the pure elements is -0.80 eV/f.u.



Entry 2:
The following is a DFT calculation (PBE-GGA) of a relaxed structure of MgAg4F7.

Lattice parameters (Å, degrees): 3.7612 6.8777 8.9010 120.62 102.20 90.00
Positions (direct):
F: 0.5000 0.0000 0.0000
F: 0.9909 0.2797 0.9817
Ag: 0.7079 0.1796 0.4157
Ag: 0.4257 0.5327 0.8513
Ag: 0.2921 0.8204 0.5843
F: 0.1392 0.2156 0.2785
F: 0.7083 0.7939 0.4165
F: 0.8608 0.7844 0.7215
Mg: 0.0000 0.0000 0.0000
Ag: 0.5743 0.4673 0.1487
F: 0.2917 0.2061 0.5835
F: 0.0091 0.7203 0.0183

Values from the calculation:
As for the uncorrected formation energy: -1613 meV per atom. Its space-group type is No. 12.



Entry 3:
The following is a DFT calculation (PBE-GGA) of a relaxed structure of Li14ZnPd.

Lattice parameters (Å, degrees): 5.9412 5.9412 9.4410 90.00 90.00 122.37
Positions (direct):
Li: 0.3768 0.1361 0.2731
Zn: 0.0319 0.9681 0.5000
Li: 0.7180 0.7807 0.0000
Li: 0.8639 0.6232 0.7269
Li: 0.8639 0.6232 0.2731
Li: 0.3802 0.6198 0.7377
Pd: 0.5257 0.4743 0.5000
Li: 0.8800 0.1200 0.7442
Li: 0.0361 0.4664 0.5000
Li: 0.5336 0.9639 0.5000
Li: 0.2193 0.2820 0.0000
Li: 0.3802 0.6198 0.2623
Li: 0.7168 0.2832 0.0000
Li: 0.3768 0.1361 0.7269
Li: 0.8800 0.1200 0.2558
Li: 0.2169 0.7831 0.0000

Values from the calculation:
Its space-group type is No. 38. Its energy of formation from the pure elements is -1.26 eV/f.u.



Entry 4:
The following is a DFT calculation (PBE-GGA) of a relaxed structure of Pa2VPdN5.

Lattice parameters (Å, degrees): 3.3366 6.5966 10.2993 90.00 90.00 104.65
Last column: magnetic moment on the atom in μB.
Positions (direct):
V: 0.2034 0.4067 0.0168  0.75
N: 0.2712 0.5424 0.6630  -0.01
N: 0.3651 0.7302 0.9971  -0.01
N: 0.6349 0.2698 0.4971  -0.01
Pa: 0.8498 0.6997 0.8034  0.04
N: 0.5135 0.0269 0.2572  0.00
Pd: 0.5332 0.0664 0.9484  0.00
N: 0.9300 0.8599 0.5834  -0.04
N: 0.4865 0.9731 0.7572  0.00
N: 0.7288 0.4576 0.1630  -0.01
Pa: 0.1502 0.3003 0.3034  0.04
V: 0.7966 0.5933 0.5168  0.75
Pa: 0.9021 0.8042 0.1689  -0.01
N: 0.0700 0.1401 0.0834  -0.04
Pd: 0.4668 0.9336 0.4484  0.00
Pa: 0.0979 0.1958 0.6689  -0.01
N: 0.3096 0.6193 0.3858  -0.01
N: 0.6904 0.3807 0.8858  -0.01

Values from the calculation:
As for the uncorrected formation energy: -905 meV per atom. Its space-group type is No. 36.



Entry 5:
The following is a DFT calculation (PBE-GGA) of a relaxed structure of TbMgRe.

Lattice parameters (Å, degrees): 4.8783 4.1197 10.0858 81.77 76.00 53.70
Positions (direct):
Tb: 0.6020 0.0000 0.7960
Mg: 0.7500 0.5000 0.5000
Re: 0.8217 0.3566 0.0000
Re: 0.1783 0.6434 0.0000
Tb: 0.3980 0.0000 0.2040
Mg: 0.2500 0.5000 0.5000

Values from the calculation:
Its space-group type is No. 69. Its energy of formation from the pure elements is 1.17 eV/f.u.



Entry 6:
The following is a DFT calculation (PBE-GGA) of a relaxed structure of Sr4Hg5Sb6.

Lattice parameters (Å, degrees): 4.7800 11.5567 17.8238 90.00 90.00 101.94
Positions (direct):
Hg: 0.1398 0.2796 0.6232
Sb: 0.7754 0.5508 0.0026
Hg: 0.6833 0.3666 0.4231
Hg: 0.8602 0.7204 0.1232
Sr: 0.9557 0.9114 0.2682
Sr: 0.0443 0.0886 0.7682
Hg: 0.3167 0.6334 0.6218
Sr: 0.8391 0.6781 0.7906
Hg: 0.3167 0.6334 0.9231
Hg: 0.6840 0.3679 0.8173
Sr: 0.8303 0.6607 0.4597
Sb: 0.8999 0.7998 0.6211
Hg: 0.5507 0.1015 0.2019
Hg: 0.4493 0.8985 0.7019
Hg: 0.3160 0.6321 0.3173
Sb: 0.4239 0.8478 0.3994
Sr: 0.0151 0.0302 0.4934
Sb: 0.4369 0.8737 0.8642
Sr: 0.9849 0.9698 0.9934
Sb: 0.4387 0.8773 0.1212
Sr: 0.1697 0.3393 0.9597
Sb: 0.5761 0.1522 0.8994
Sb: 0.2246 0.4492 0.5026
Hg: 0.6833 0.3666 0.1218
Sb: 0.1001 0.2002 0.1211
Sb: 0.7719 0.5438 0.2476
Sb: 0.5631 0.1263 0.3642
Sr: 0.1609 0.3219 0.2905
Sb: 0.5613 0.1227 0.6212
Sb: 0.2281 0.4562 0.7476

Values from the calculation:
As for the uncorrected formation energy: -515 meV per atom. Its space-group type is No. 36.



no.,total moment (μB per cell),V (Å³/cell),raw total energy (eV/atom)
1,0.8,125.4,-4.133
2,0.0,192.1,-3.788
3,0.0,281.5,-2.158
4,1.5,219.3,-9.231
5,0.0,158.5,-5.834
6,0.0,963.3,-2.714